Material: Li2PrPb
Method: DFT, PBE-GGA
State: relaxed

Its space-group type is P4/mmm, No. 123. Its uncorrected energy is -13.31 eV per cell. The magnetization is 0.002 μB per atom. Its calculated formation energy is -0.248 eV per atom. The energy above the most stable polymorph in this dataset is 2.47 kcal/mol of atoms.

abc: 4.979 4.595 4.595
angles: 90.00 90.00 90.00
Sites, in units of the cell vectors:
Pb 0.500 0.000 0.000
Pr 0.500 0.500 0.500
Li 0.000 0.000 0.500
Li 0.000 0.500 0.000